Entry from the Alexandria database: crystalline Ac6La4Pm at its relaxed geometry (GGA-PBE).

## Properties
Calculated formation energy ... 1.37 eV/f.u.
SG ... P-6m2 (187)
Magnetic moment ... 0.00 μB/cell

Cell: 3.8477 11.7267 11.7267 Å, 120.00 90.00 90.00°
With the nearest neighbours (Å) after each atom.
Fractional coordinates of all 11 atoms:
Ac (0.5000, 0.6306, 0.8153)  4 La 3.49-3.58, 2 Ac 3.85
Ac (0.0000, 0.5349, 0.0698)  5 La 3.77-4.09, 6 Ac 3.85-4.15
Ac (0.0000, 0.5349, 0.4651)  5 La 3.77-4.09, 6 Ac 3.85-4.15
Ac (0.5000, 0.1847, 0.3694)  4 La 3.49-3.58, 2 Ac 3.85
Ac (0.0000, 0.9302, 0.4651)  5 La 3.77-4.09, 6 Ac 3.85-4.15
Ac (0.5000, 0.1847, 0.8153)  4 La 3.49-3.58, 2 Ac 3.85
La (0.5000, 0.3111, 0.1555)  6 Ac 3.49-3.77, 2 Pm 3.70, 2 La 3.85
La (0.5000, 0.8445, 0.1555)  6 Ac 3.49-3.77, 2 Pm 3.70, 2 La 3.85
La (0.0000, 0.3333, 0.6667)  6 Ac 3.58, 2 La 3.85
La (0.5000, 0.8445, 0.6889)  6 Ac 3.49-3.77, 2 Pm 3.70, 2 La 3.85
Pm (0.0000, 0.0000, 0.0000)  6 La 3.70, 2 Pm 3.85

Entry from the Alexandria database: crystalline Nd2C2F at its relaxed geometry (GGA-PBE).

## Properties
Energy ... -7.20 eV per atom
SG ... C2/c (15)
Magnetic moment ... 0.00 μB/cell

Cell: 4.3659 6.6184 7.0791 Å, 107.93 107.96 90.00°
With the nearest neighbours (Å) after each atom.
Fractional coordinates of all 10 atoms:
Nd (0.4648, 0.6091, 0.2849)  4 C 2.41-2.68, 2 F 2.59
Nd (0.5352, 0.3909, 0.7151)  4 C 2.41-2.68, 2 F 2.59
Nd (0.1798, 0.8909, 0.7151)  4 C 2.41-2.68, 2 F 2.59
Nd (0.8202, 0.1091, 0.2849)  4 C 2.41-2.68, 2 F 2.59
F (0.4510, 0.2500, 0.0000)  4 Nd 2.59
F (0.5490, 0.7500, 0.0000)  4 Nd 2.59
C (0.0963, 0.5137, 0.4434)  1 C 1.37
C (0.3471, 0.0137, 0.4434)  1 C 1.37
C (0.6529, 0.9863, 0.5566)  1 C 1.37
C (0.9037, 0.4863, 0.5566)  1 C 1.37

Entry from the Alexandria database: crystalline PdAuF2 at its relaxed geometry (GGA-PBE).

## Properties
SG ... R-3m (166)
Energy above the lowest structure with this stoichiometry ... 0.00 eV per formula unit
Magnetic moment ... 0.00 μB/cell

Cell: 8.2597 8.2597 8.2597 Å, 19.97 19.97 19.97°
With the nearest neighbours (Å) after each atom.
Fractional coordinates of all 4 atoms:
Pd (0.0000, 0.0000, 0.0000)  2 F 1.97
F (0.9187, 0.9187, 0.9187)  1 Pd 1.97
F (0.0813, 0.0813, 0.0813)  1 Pd 1.97
Au (0.5000, 0.5000, 0.5000)  6 F 2.65, 6 Au 2.86

Entry from the Alexandria database: crystalline CeTa4N8 at its relaxed geometry (GGA-PBE).

## Properties
Energy ... -10.19 eV per atom
SG ... Cm (8)
Magnetic moment ... 0.00 μB/cell

Cell: 3.1810 7.7287 7.6107 Å, 80.58 77.94 78.12°
With the nearest neighbours (Å) after each atom.
Fractional coordinates of all 13 atoms:
N (0.5452, 0.6783, 0.2312)  3 Ta 1.96-2.15
N (0.4702, 0.3439, 0.7158)  3 Ta 1.97-2.17
N (0.2187, 0.6665, 0.8961)  1 Ta 2.11, 2 Ce 2.29
N (0.1589, 0.0269, 0.6554)  3 Ta 2.30-2.40, 2 Ce 2.33
N (0.8488, 0.7073, 0.5951)  3 Ta 2.10-2.13
N (0.7823, 0.3868, 0.0485)  3 Ta 2.01-2.06
N (0.1432, 0.3287, 0.3848)  3 Ta 1.99-2.07
N (0.8351, 0.9913, 0.3385)  3 Ta 2.00-2.09
Ta (0.6599, 0.1940, 0.4863)  4 N 1.99-2.17
Ta (0.1672, 0.5123, 0.1534)  6 N 2.06-2.15
Ta (0.8715, 0.4750, 0.7820)  4 N 1.97-2.10
Ta (0.3719, 0.8257, 0.4305)  5 N 1.96-2.13
Ce (0.6314, 0.8854, 0.8518)  5 N 2.29-2.47

Entry from the Alexandria database: crystalline Zr2InMo at its relaxed geometry (GGA-PBE).

## Properties
Calculated formation energy ... 0.03 eV/f.u.
SG ... P4mm (99)
Magnetic moment ... 0.00 μB/cell

Cell: 3.5366 3.5366 6.5288 Å, 90.00 90.00 90.00°
With the nearest neighbours (Å) after each atom.
Fractional coordinates of all 4 atoms:
In (0.0000, 0.0000, 0.5168)  4 Mo 2.95, 5 Zr 3.02-3.06
Zr (0.5000, 0.5000, 0.2477)  4 Zr 3.06, 4 In 3.06, 2 Mo 3.21-3.32
Zr (0.0000, 0.0000, 0.9788)  4 Mo 2.89, 1 In 3.02, 4 Zr 3.06
Mo (0.5000, 0.5000, 0.7567)  5 Zr 2.89-3.21, 4 In 2.95

Entry from the Alexandria database: crystalline LaIn2W at its relaxed geometry (GGA-PBE).

## Properties
Calculated formation energy ... 1.15 eV/f.u.
SG ... P4/mmm (123)
Energy above the lowest structure with this stoichiometry ... 0.11 eV per formula unit
Magnetic moment ... 0.30 μB/cell

Cell: 3.0760 3.0760 9.6044 Å, 90.00 90.00 90.00°
With the nearest neighbours (Å) after each atom.
Fractional coordinates of all 4 atoms:
W (0.5000, 0.5000, 0.7500)  8 In 3.00, 4 W 3.08
In (0.0000, 0.0000, 0.5343)  4 W 3.00, 4 In 3.08
In (0.0000, 0.0000, 0.9657)  4 W 3.00, 4 In 3.08
La (0.5000, 0.5000, 0.2500)  4 La 3.08